Compound: Tb2SmSc
Source: Alexandria via LeMat-Bulk
Functional: PBE
Structure: optimized geometry

* offset from the most stable computed form: 6 meV per atom
* space-group type: P-1, No. 2
* formation energy from the elements: 0.040 eV per atom

Lattice parameters (Å, degrees): 6.9958 6.9907 14.0157 119.74 89.81 59.93
Last column: nearest neighbours and their distance in Å.
Positions (direct):
Sm  0.2488  0.0033  0.3774  8 Tb 3.48-3.54, 3 Sc 3.49-3.53, 1 Sm 3.56
Tb  0.7473  0.5022  0.6246  4 Sc 3.46-3.52, 4 Tb 3.46-3.52, 4 Sm 3.48-3.54
Tb  0.2476  0.0021  0.1248  4 Sc 3.46-3.53, 4 Tb 3.46-3.52, 4 Sm 3.48-3.54
Tb  0.2514  0.9986  0.6250  4 Tb 3.46-3.52, 4 Sc 3.47-3.53, 4 Sm 3.49-3.53
Sm  0.7512  0.9967  0.6226  8 Tb 3.48-3.54, 3 Sc 3.49-3.53, 1 Sm 3.56
Tb  0.2527  0.4978  0.3754  4 Sc 3.46-3.52, 4 Tb 3.46-3.52, 4 Sm 3.48-3.54
Sc  0.2511  0.9940  0.8712  1 Sc 3.43, 8 Tb 3.46-3.53, 3 Sm 3.49-3.53
Tb  0.2480  0.5018  0.8752  4 Tb 3.46-3.52, 4 Sc 3.47-3.52, 4 Sm 3.49-3.53
Sc  0.7489  0.0060  0.1288  1 Sc 3.43, 8 Tb 3.46-3.53, 3 Sm 3.49-3.53
Tb  0.7486  0.0014  0.3750  4 Tb 3.46-3.52, 4 Sc 3.47-3.53, 4 Sm 3.49-3.53
Tb  0.7520  0.4982  0.1248  4 Tb 3.46-3.52, 4 Sc 3.47-3.52, 4 Sm 3.49-3.53
Sm  0.7482  0.5037  0.8774  8 Tb 3.48-3.54, 3 Sc 3.49-3.53, 1 Sm 3.56
Tb  0.7524  0.9979  0.8752  4 Sc 3.46-3.53, 4 Tb 3.46-3.52, 4 Sm 3.48-3.54
Sc  0.2484  0.5061  0.6288  1 Sc 3.43, 8 Tb 3.46-3.53, 3 Sm 3.49-3.53
Sc  0.7516  0.4939  0.3712  1 Sc 3.43, 8 Tb 3.46-3.53, 3 Sm 3.49-3.53
Sm  0.2518  0.4963  0.1226  8 Tb 3.48-3.54, 3 Sc 3.49-3.53, 1 Sm 3.56

---

Compound: CsBaLi2Tl
Source: Alexandria via LeMat-Bulk
Functional: PBE
Structure: optimized geometry

* space-group type: P4/mmm, No. 123
* formation energy from the elements: 0.463 eV per atom

Lattice parameters (Å, degrees): 5.8905 6.6485 5.8905 90.00 90.00 90.00
Last column: nearest neighbours and their distance in Å.
Positions (direct):
Li  0.5000  0.0000  0.0000  2 Cs 2.95
Tl  0.0000  0.5000  0.0000  2 Cs 3.32
Cs  0.0000  0.0000  0.0000  4 Li 2.95
Li  0.0000  0.0000  0.5000  2 Cs 2.95
Ba  0.5000  0.5000  0.5000  4 Tl 4.17, 8 Li 4.44

---

Compound: LiTlNi2
Source: Alexandria via LeMat-Bulk
Functional: PBE
Structure: optimized geometry

* space-group type: Pmm2, No. 25
* formation energy from the elements: 0.145 eV per atom

Lattice parameters (Å, degrees): 3.1704 3.1453 5.9034 90.00 90.00 90.00
Last column: nearest neighbours and their distance in Å.
Positions (direct):
Tl  0.0000  0.0000  0.4922  6 Ni 2.80-3.11, 4 Li 2.83
Li  0.5000  0.5000  0.7874  5 Ni 2.45-2.62
Ni  0.0000  0.0000  0.0185  4 Ni 2.48, 4 Li 2.62
Ni  0.5000  0.5000  0.2018  1 Li 2.45, 4 Ni 2.48

---

Compound: Nd2BiPt
Source: Alexandria via LeMat-Bulk
Functional: PBE
Structure: optimized geometry

* offset from the most stable computed form: 43 meV per atom
* space-group type: P4/mmm, No. 123
* formation energy from the elements: -0.845 eV per atom

Lattice parameters (Å, degrees): 3.6880 3.6880 8.0564 90.00 90.00 90.00
Last column: nearest neighbours and their distance in Å.
Positions (direct):
Nd  0.0000  0.0000  0.2145  4 Pt 3.13, 1 Nd 3.46, 4 Bi 3.48
Bi  0.5000  0.5000  0.5000  8 Nd 3.48, 4 Bi 3.69
Nd  0.0000  0.0000  0.7855  4 Pt 3.13, 1 Nd 3.46, 4 Bi 3.48
Pt  0.5000  0.5000  0.0000  8 Nd 3.13

---

Compound: SbPb2Au
Source: Alexandria via LeMat-Bulk
Functional: PBE
Structure: optimized geometry

* E_form (uncorrected): 0.07 eV per atom
* space-group type: I-4m2, No. 119

Lattice parameters (Å, degrees): 6.0853 6.0853 6.0853 135.50 135.50 64.76
Last column: nearest neighbours and their distance in Å.
Positions (direct):
Sb  0.5000  0.5000  0.0000  8 Pb 3.26-3.45, 4 Au 3.45
Au  0.7500  0.2500  0.5000  8 Pb 3.26-3.45, 4 Sb 3.45
Pb  0.2500  0.7500  0.5000  4 Au 3.26, 4 Sb 3.45, 4 Pb 3.45
Pb  0.0000  0.0000  0.0000  4 Sb 3.26, 4 Au 3.45, 4 Pb 3.45

---

Compound: AlZn7
Source: Alexandria via LeMat-Bulk
Functional: PBE
Structure: optimized geometry

* offset from the most stable computed form: 19 meV per atom
* space-group type: Fm-3m, No. 225
* formation energy from the elements: 0.043 eV per atom

Lattice parameters (Å, degrees): 5.5813 5.5813 5.5813 60.00 60.00 60.00
Last column: nearest neighbours and their distance in Å.
Positions (direct):
Zn  0.0000  0.5000  0.5000  10 Zn 2.79, 2 Al 2.79
Zn  0.5000  0.5000  0.0000  2 Al 2.79, 10 Zn 2.79
Zn  0.0000  0.5000  0.0000  10 Zn 2.79, 2 Al 2.79
Zn  0.5000  0.0000  0.5000  10 Zn 2.79, 2 Al 2.79
Al  0.0000  0.0000  0.0000  12 Zn 2.79
Zn  0.0000  0.0000  0.5000  10 Zn 2.79, 2 Al 2.79
Zn  0.5000  0.5000  0.5000  12 Zn 2.79
Zn  0.5000  0.0000  0.0000  10 Zn 2.79, 2 Al 2.79

---

Compound: ScTlP2Cl
Source: Alexandria via LeMat-Bulk
Functional: PBE
Structure: optimized geometry

* offset from the most stable computed form: 0 meV per atom
* E_form (uncorrected): -0.30 eV per atom
* space-group type: P4/mmm, No. 123

Lattice parameters (Å, degrees): 5.0559 5.0559 5.1121 90.00 90.00 90.00
Last column: nearest neighbours and their distance in Å.
Positions (direct):
Cl  0.0000  0.0000  0.5000  2 Sc 2.56
Tl  0.5000  0.5000  0.5000  4 Cl 3.58, 8 P 3.59
Sc  0.0000  0.0000  0.0000  4 P 2.53, 2 Cl 2.56
P  0.5000  0.0000  0.0000  2 Sc 2.53
P  0.0000  0.5000  0.0000  2 Sc 2.53

---

Compound: Cs2ScAg3F12
Source: Alexandria via LeMat-Bulk
Functional: PBE
Structure: optimized geometry

* E_form (uncorrected): -2.14 eV per atom
* space-group type: R-3m, No. 166

Lattice parameters (Å, degrees): 8.0139 8.0139 8.0139 58.60 58.60 58.60
Last column: nearest neighbours and their distance in Å.
Positions (direct):
F  0.0667  0.6778  0.6778  2 Ag 2.12
F  0.6778  0.6778  0.0667  2 Ag 2.12
F  0.9333  0.3222  0.3222  2 Ag 2.12
F  0.9280  0.9280  0.3084  1 Sc 2.04
Cs  0.6325  0.6325  0.6325  6 F 3.31-3.48
F  0.3222  0.3222  0.9333  2 Ag 2.12
F  0.6916  0.0720  0.0720  1 Sc 2.04
Cs  0.3675  0.3675  0.3675  6 F 3.31-3.48
F  0.9280  0.3084  0.9280  1 Sc 2.04
F  0.6778  0.0667  0.6778  2 Ag 2.12
F  0.0720  0.0720  0.6916  1 Sc 2.04
F  0.3084  0.9280  0.9280  1 Sc 2.04
Ag  0.0000  0.0000  0.5000  6 F 2.12-2.28
Ag  0.5000  0.0000  0.0000  6 F 2.12-2.28
F  0.3222  0.9333  0.3222  2 Ag 2.12
Sc  0.0000  0.0000  0.0000  6 F 2.04
Ag  0.0000  0.5000  0.0000  6 F 2.12-2.28
F  0.0720  0.6916  0.0720  1 Sc 2.04

---

Compound: SrZn2GaAg2
Source: Alexandria via LeMat-Bulk
Functional: PBE
Structure: optimized geometry

* space-group type: P4/mmm, No. 123
* formation energy from the elements: -0.011 eV per atom

Lattice parameters (Å, degrees): 4.7532 4.7532 6.1532 90.00 90.00 90.00
Last column: nearest neighbours and their distance in Å.
Positions (direct):
Ag  0.5000  0.5000  0.2688  1 Ag 2.85, 4 Zn 2.90
Sr  0.0000  0.0000  0.5000  2 Ga 3.08
Ag  0.5000  0.5000  0.7312  1 Ag 2.85, 4 Zn 2.90
Ga  0.0000  0.0000  0.0000  4 Zn 2.38
Zn  0.5000  0.0000  0.0000  2 Ga 2.38
Zn  0.0000  0.5000  0.0000  2 Ga 2.38

---

Compound: AcTb6Dy3Er2
Source: Alexandria via LeMat-Bulk
Functional: PBE
Structure: optimized geometry

* space-group type: C2/m, No. 12
* formation energy from the elements: 0.030 eV per atom

Lattice parameters (Å, degrees): 6.1972 6.1972 11.8792 94.98 94.98 119.97
Last column: nearest neighbours and their distance in Å.
Positions (direct):
Ac  0.0000  0.0000  0.0000  6 Er 3.58, 6 Tb 3.63
Dy  0.1672  0.8328  0.5000  6 Tb 3.53-3.55, 6 Dy 3.57-3.59
Tb  0.5781  0.9147  0.7461  3 Dy 3.53-3.55, 6 Tb 3.56-3.61, 2 Er 3.61, 1 Ac 3.63
Tb  0.2514  0.2514  0.7458  3 Dy 3.53-3.55, 6 Tb 3.56-3.61, 2 Er 3.62, 1 Ac 3.63
Tb  0.9147  0.5781  0.7461  3 Dy 3.53-3.55, 6 Tb 3.56-3.61, 2 Er 3.61, 1 Ac 3.63
Tb  0.4219  0.0853  0.2539  3 Dy 3.53-3.55, 6 Tb 3.56-3.61, 2 Er 3.61, 1 Ac 3.63
Dy  0.8328  0.1672  0.5000  6 Tb 3.53-3.55, 6 Dy 3.57-3.59
Tb  0.7486  0.7486  0.2542  3 Dy 3.53-3.55, 6 Tb 3.56-3.61, 2 Er 3.62, 1 Ac 3.63
Dy  0.5000  0.5000  0.5000  6 Tb 3.53-3.55, 6 Dy 3.57-3.58
Er  0.6667  0.3333  0.0000  3 Er 3.58, 3 Ac 3.58, 6 Tb 3.61-3.62
Er  0.3333  0.6667  0.0000  3 Er 3.58, 3 Ac 3.58, 6 Tb 3.61-3.62
Tb  0.0853  0.4219  0.2539  3 Dy 3.53-3.55, 6 Tb 3.56-3.61, 2 Er 3.61, 1 Ac 3.63

---

Compound: TaInBr2
Source: Alexandria via LeMat-Bulk
Functional: PBE
Structure: optimized geometry

* offset from the most stable computed form: 244 meV per atom
* E_form (uncorrected): -0.01 eV per atom
* space-group type: Cmmm, No. 65

Lattice parameters (Å, degrees): 3.4844 3.4844 10.4990 90.00 90.00 125.85
Last column: nearest neighbours and their distance in Å.
Positions (direct):
Br  0.0000  0.0000  0.5484  2 Ta 2.64
Ta  0.5000  0.5000  0.7500  4 Br 2.64
In  0.5000  0.5000  0.2500  6 In 3.17-3.48, 4 Br 3.51
Br  0.0000  0.0000  0.9516  2 Ta 2.64

---

Compound: TbFeSe
Source: Alexandria via LeMat-Bulk
Functional: PBE
Structure: optimized geometry

* E_form (uncorrected): -0.70 eV per atom
* space-group type: R-3m, No. 166

Lattice parameters (Å, degrees): 4.2585 4.2585 10.0832 77.81 77.81 60.00
Last column: nearest neighbours and their distance in Å.
Positions (direct):
Se  0.7251  0.7251  0.8248  3 Tb 2.76, 1 Fe 2.99
Fe  0.8270  0.8270  0.5191  3 Fe 2.49
Fe  0.1730  0.1730  0.4809  3 Fe 2.49
Tb  0.4346  0.4346  0.6962  3 Se 2.76, 3 Fe 3.01
Se  0.2749  0.2749  0.1752  3 Tb 2.76, 1 Fe 2.99
Tb  0.5654  0.5654  0.3038  3 Se 2.76, 3 Fe 3.01

---

The calculation returns the following calculated density values, one per record and in order: 7023, 3516, 9272, 10495, 11153, 6549, 4406, 4065, 6019, 8544, 7322, 6352 kg/m³.